The following is a PBE calculation of a geometry-optimized Rb2TmMnSe4 structure, from Alexandria via LeMat-Bulk.

Structure (POSCAR):
```
Rb2TmMnSe4
1.0
8.6413 -0.0094 -0.0724
-0.0154 8.6413 -0.0724
-4.2530 -4.2560 6.1726
Rb Se Tm Mn
4 8 2 2
Cartesian
-2.1265 -2.1280 3.0863 Rb
2.1942 -2.1327 3.0501 Rb
4.3130 4.3159 -0.0724 Rb
4.3207 -0.0047 -0.0362 Rb
6.8315 2.0901 0.1279 Se
2.5792 2.3003 5.7402 Se
0.0858 3.9963 2.8136 Se
0.1120 0.3929 2.7262 Se
4.2608 3.9831 3.3016 Se
-2.4585 2.2859 5.8999 Se
4.2871 0.3796 3.2143 Se
1.7937 2.0757 0.2877 Se
-0.0077 4.3207 -0.0362 Tm
6.5071 2.1833 2.9777 Tm
2.1864 2.1880 3.0140 Mn
4.3883 -4.2653 6.1002 Mn
```

Properties
* space group: Imma
* volume: 28.5 A^3/atom
* uncorrected energy: -4.774 eV/atom
* spin magnetization: 8.0 Bohr magnetons per cell